Record 1
The following is a PBE-GGA calculation of a geometry-optimized Pr2AlAu structure, from Alexandria via LeMat-Bulk.

Results
Formation energy in eV/atom: -0.5280
Crystal system: tetragonal
Space group: P4/mmm
Excess energy over the best structure of this formula in the dataset in meV per atom: 6.2
Theoretical density in g cm⁻³: 7.9

Lattice parameters (Å, degrees): 3.694 3.694 7.774 90.00 90.00 90.00
Atoms (fractional coordinates):
Au1 0.500 0.500 0.000
Pr1 0.000 0.000 0.247
Pr2 0.000 0.000 0.753
Al1 0.500 0.500 0.500

=====

Record 2
The following is a PBE-GGA calculation of a geometry-optimized PrAl3Au2 structure, from Alexandria via LeMat-Bulk.

Results
Formation energy in eV/atom: -0.6504
Crystal system: monoclinic
Space group: C2/m
Theoretical density in g cm⁻³: 8.5

Lattice parameters (Å, degrees): 4.293 8.740 10.248 104.24 90.00 104.22
Atoms (fractional coordinates):
Al1 0.500 0.000 0.500
Pr1 0.842 0.683 0.294
Al2 0.372 0.743 0.803
Al3 0.788 0.575 0.625
Au1 0.476 0.953 0.223
Pr2 0.158 0.317 0.706
Au2 0.801 0.602 0.886
Al4 0.337 0.674 0.043
Al5 0.628 0.257 0.197
Au3 0.524 0.047 0.777
Al6 0.957 0.913 0.639
Au4 0.199 0.398 0.114
Al7 0.043 0.087 0.361
Pr3 0.000 0.000 0.000
Al8 0.663 0.326 0.957
Au5 0.648 0.296 0.458
Al9 0.212 0.425 0.375
Au6 0.352 0.704 0.542

=====

Record 3
The following is a PBE-GGA calculation of a geometry-optimized Pr2AlAu structure, from Alexandria via LeMat-Bulk.

Results
Formation energy in eV/atom: -0.5342
Crystal system: orthorhombic
Space group: Amm2
Excess energy over the best structure of this formula in the dataset in meV per atom: 0.0
Theoretical density in g cm⁻³: 7.8

Lattice parameters (Å, degrees): 3.873 4.665 6.286 90.00 107.94 90.00
Atoms (fractional coordinates):
Au1 0.378 0.000 0.756
Pr1 0.797 0.500 0.594
Pr2 0.096 0.000 0.192
Al1 0.514 0.500 0.028

=====

Record 4
The following is a PBE-GGA calculation of a geometry-optimized Pr2Al2Au structure, from Alexandria via LeMat-Bulk.

Results
Formation energy in eV/atom: -0.5707
Crystal system: monoclinic
Space group: C2/m
Theoretical density in g cm⁻³: 7.1

Lattice parameters (Å, degrees): 4.646 5.971 10.038 84.70 76.62 67.10
Atoms (fractional coordinates):
Pr1 0.319 0.687 0.676
Au1 0.622 0.105 0.651
Pr2 0.921 0.268 0.890
Al1 0.373 0.141 0.112
Pr3 0.079 0.732 0.110
Al2 0.910 0.732 0.447
Au2 0.378 0.895 0.349
Pr4 0.681 0.313 0.324
Al3 0.627 0.859 0.888
Al4 0.090 0.268 0.553

=====

no.,DOS(E_F) (states/eV per atom)
1,0.98
2,0.32
3,0.98
4,0.84